Record 1
TaCdNi | PBE-GGA | relaxed

Computed properties:
Its calculated total energy is -17.909 eV per cell. As for the space group: P3m1 (156). The energy above the lowest structure with this stoichiometry is 0.46 eV per formula unit. The formation energy is 0.21 eV/atom.

a = 4.501 Å, b = 4.501 Å, c = 2.757 Å
α = 90.00°, β = 90.00°, γ = 120.00°
Fractional coordinates of all 3 atoms:
1 Ta 0.000 0.000 0.000
2 Cd 0.667 0.333 0.500
3 Ni 0.333 0.667 0.502

---

Record 2
LaPm6Y2Tm3 | PBE-GGA | relaxed

Computed properties:
Its calculated total energy is -59.534 eV per cell. As for the space group: C2/m (12). The formation energy is 0.02 eV/atom.

a = 6.257 Å, b = 6.257 Å, c = 11.891 Å
α = 95.02°, β = 95.02°, γ = 120.00°
Fractional coordinates of all 12 atoms:
1 La 0.000 0.000 0.000
2 Pm 0.085 0.419 0.255
3 Pm 0.249 0.249 0.745
4 Pm 0.419 0.085 0.255
5 Pm 0.581 0.915 0.745
6 Pm 0.751 0.751 0.255
7 Pm 0.915 0.581 0.745
8 Y 0.333 0.667 0.000
9 Y 0.667 0.333 0.000
10 Tm 0.167 0.833 0.500
11 Tm 0.500 0.500 0.500
12 Tm 0.833 0.167 0.500